[1]
Compound: Zn2BI
Source: Alexandria via LeMat-Bulk
Functional: GGA-PBE
Structure: relaxed

Cell and atoms, written as extended XYZ:
```
8
Lattice="-2.9751 2.9751 5.0861 2.9751 -2.9751 5.0861 2.9751 2.9751 -5.0861" Properties=species:S:1:pos:R:3 pbc="T T T"
Zn 4.4627 0.8011 -1.2715
Zn 0.8011 1.4876 1.2715
Zn -1.4876 2.1740 3.8146
Zn 2.1740 1.4876 6.3576
B 0.0000 0.0000 0.0000
B 0.0000 2.9751 2.5430
I 2.9751 0.0000 2.5430
I 0.0000 0.0000 5.0861
```

Summary:
- SG = No. 122
- DOS at the Fermi energy (states/eV per cell) = 1.1
- total DFT energy (no corrections) (eV per cell) = -17.66
- formation energy (no corrections) (meV per atom) = 487
- energy above the most stable polymorph in this dataset (meV per atom) = 0

=====

[2]
Compound: Ba2LiOs
Source: Alexandria via LeMat-Bulk
Functional: GGA-PBE
Structure: relaxed

Cell and atoms, written as extended XYZ:
```
4
Lattice="-2.4128 2.4128 4.7831 2.4128 -2.4128 4.7831 2.4128 2.4128 -4.7831" Properties=species:S:1:pos:R:3 pbc="T T T"
Ba 0.0000 0.0000 0.0000
Ba 0.0000 2.4128 2.3916
Li 2.4128 0.0000 2.3916
Os 0.0000 0.0000 4.7831
```

Summary:
- SG = No. 119
- DOS at the Fermi energy (states/eV per cell) = 3.7
- energy of formation (eV/atom) = 0.739
- total DFT energy (no corrections) (eV per cell) = -14.03
- energy above the most stable polymorph in this dataset (meV per atom) = 302

=====

[3]
Compound: BeCu2Pb
Source: Alexandria via LeMat-Bulk
Functional: GGA-PBE
Structure: relaxed

Cell and atoms, written as extended XYZ:
```
4
Lattice="-1.9565 1.9565 3.9696 1.9565 -1.9565 3.9696 1.9565 1.9565 -3.9696" Properties=species:S:1:pos:R:3 pbc="T T T"
Be 0.0000 0.0000 0.0000
Cu 1.9565 0.0000 1.9848
Cu 0.0000 0.0000 3.9696
Pb 0.0000 1.9565 1.9848
```

Summary:
- SG = No. 119
- DOS at the Fermi energy (states/eV per cell) = 1.2
- energy of formation (eV/atom) = 0.430
- total DFT energy (no corrections) (eV per cell) = -13.91
- energy above the most stable polymorph in this dataset (meV per atom) = 187

=====

[4]
Compound: LiAgBi2Se4
Source: Alexandria via LeMat-Bulk
Functional: GGA-PBE
Structure: relaxed

Cell and atoms, written as extended XYZ:
```
8
Lattice="7.0859 0.0000 0.0000 0.0000 4.1699 0.0000 -2.4749 0.0000 6.7765" Properties=species:S:1:pos:R:3 pbc="T T T"
Li 0.0000 0.0000 0.0000
Ag -1.2374 2.0849 3.3882
Bi 2.3055 0.0000 3.3882
Bi 3.5429 2.0849 0.0000
Se -0.1624 0.0000 5.0533
Se 1.0803 2.0849 1.6568
Se 4.7734 0.0000 1.7232
Se 3.5307 2.0849 5.1197
```

Summary:
- SG = No. 10
- DOS at the Fermi energy (states/eV per cell) = 0.0
- total DFT energy (no corrections) (eV per cell) = -30.42
- formation energy (no corrections) (meV per atom) = -495

=====

[5]
Compound: TiFe4P2
Source: Alexandria via LeMat-Bulk
Functional: GGA-PBE
Structure: relaxed

Cell and atoms, written as extended XYZ:
```
14
Lattice="6.7406 0.0000 0.0000 0.0000 6.7406 0.0000 0.0000 0.0000 3.6109" Properties=species:S:1:pos:R:3 pbc="T T T"
Ti 0.0000 0.0000 0.0000
Ti 3.3703 3.3703 1.8054
Fe 0.5746 2.2916 1.8054
Fe 1.0787 3.9449 0.0000
Fe 2.2916 0.5746 1.8054
Fe 2.7957 5.6619 0.0000
Fe 3.9449 1.0787 0.0000
Fe 4.4491 6.1660 1.8054
Fe 5.6619 2.7957 0.0000
Fe 6.1660 4.4491 1.8054
P 1.4736 5.2671 1.8054
P 1.8968 1.8968 0.0000
P 4.8439 4.8439 0.0000
P 5.2671 1.4736 1.8054
```

Summary:
- SG = No. 136
- DOS at the Fermi energy (states/eV per cell) = 14.4
- energy of formation (eV/atom) = -0.597
- total DFT energy (no corrections) (eV per cell) = -113.49

=====

[6]
Compound: CoWAu2
Source: Alexandria via LeMat-Bulk
Functional: GGA-PBE
Structure: relaxed

Cell and atoms, written as extended XYZ:
```
4
Lattice="-1.4683 2.2654 4.6954 1.4683 -2.2654 4.6954 1.4683 2.2654 -4.6954" Properties=species:S:1:pos:R:3 pbc="T T T"
Co 0.0000 0.0000 0.0000
W 0.0000 0.0000 4.6954
Au 1.4683 0.0000 2.1859
Au 0.0000 2.2654 2.5095
```

Summary:
- SG = No. 71
- DOS at the Fermi energy (states/eV per cell) = 3.9
- energy of formation (eV/atom) = 0.522
- total DFT energy (no corrections) (eV per cell) = -24.53
- energy above the most stable polymorph in this dataset (meV per atom) = 339

=====

[7]
Compound: KY2Hg
Source: Alexandria via LeMat-Bulk
Functional: GGA-PBE
Structure: relaxed

Cell and atoms, written as extended XYZ:
```
4
Lattice="-2.4079 2.4079 5.3333 2.4079 -2.4079 5.3333 2.4079 2.4079 -5.3333" Properties=species:S:1:pos:R:3 pbc="T T T"
K 0.0000 0.0000 0.0000
Y 2.4079 0.0000 2.6666
Y 0.0000 0.0000 5.3333
Hg 0.0000 2.4079 2.6666
```

Summary:
- SG = No. 119
- DOS at the Fermi energy (states/eV per cell) = 6.7
- energy of formation (eV/atom) = 0.289
- total DFT energy (no corrections) (eV per cell) = -13.17

=====

[8]
Compound: Ba4SrAg5
Source: Alexandria via LeMat-Bulk
Functional: GGA-PBE
Structure: relaxed

Cell and atoms, written as extended XYZ:
```
10
Lattice="4.1071 0.0000 0.0000 0.0000 4.1071 0.0000 0.0000 0.0000 20.2794" Properties=species:S:1:pos:R:3 pbc="T T T"
Ba 0.0000 0.0000 2.0731
Ba 0.0000 0.0000 6.1921
Ba 0.0000 0.0000 14.0873
Ba 0.0000 0.0000 18.2063
Sr 0.0000 0.0000 10.1397
Ag 2.0535 2.0535 0.0000
Ag 2.0535 2.0535 4.1324
Ag 2.0535 2.0535 8.3724
Ag 2.0535 2.0535 11.9070
Ag 2.0535 2.0535 16.1470
```

Summary:
- SG = No. 123
- DOS at the Fermi energy (states/eV per cell) = 8.3
- energy of formation (eV/atom) = -0.241
- total DFT energy (no corrections) (eV per cell) = -26.04

=====

Question: What is the total DFT energy (no corrections) in the fifth record?
Answer: -113.49 eV per cell